[1]
Entry from Alexandria: AgSnTe2 after structural relaxation (PBE).

Results
Raw total energy (eV for the cell shown): -39.61
Volume (Å³/atom): 37.156

Cell lengths 4.4672, 4.4672, 25.7987 Å; angles 90.00, 90.00, 120.00 degrees
Space group R-3m (No. 166, hexagonal axes)
Symmetry-distinct sites (fractional):
1 Ag 0.0000 0.0000 0.0000 [3 per cell]
2 Sn 0.0000 0.0000 0.5000 [3 per cell]
3 Te 0.0000 0.0000 0.1024 [6 per cell]

[2]
Entry from Alexandria: CoSiAg2Rh after structural relaxation (PBE).

Results
Raw total energy (eV for the cell shown): -21.09
Volume (Å³/atom): 18.373

Cell lengths 4.7112, 4.7112, 4.1389 Å; angles 90.00, 90.00, 90.00 degrees
Space group P4/mmm (No. 123)
Symmetry-distinct sites (fractional):
1 Co 0.0000 0.0000 0.0000 [1 per cell]
2 Si 0.0000 0.0000 0.5000 [1 per cell]
3 Ag 0.0000 0.5000 0.0000 [2 per cell]
4 Rh 0.5000 0.5000 0.5000 [1 per cell]